A geometry-optimized AlCu2Sb structure, computed with GGA-PBE.

The calculation puts the spin magnetization at 0.00 μB/f.u. For the offset from the most stable computed form, the calculation gives 0.0816 eV per atom.

The space group is P4/mmm (No. 123) and the conventional cell measures 2.9990, 2.9990 and 7.4488 Å, with angles of 90.00, 90.00 and 90.00 degrees. Symmetry generates all atoms from Al at (0.0000, 0.0000, 0.0000), Cu at (0.5000, 0.5000, 0.2004) and Sb at (0.0000, 0.0000, 0.5000).



A geometry-optimized Tb2Co2Sn structure, computed with GGA-PBE.

The energy relative to the elements is -413.9 meV/atom. The calculation puts the spin magnetization at 0.66 μB/f.u.

The space group is C2/c (No. 15) and the conventional cell measures 9.6503, 5.4835 and 7.8004 Å, with angles of 90.00, 104.39 and 90.00 degrees. Symmetry generates all atoms from Tb at (0.1474, 0.1492, 0.1475), Co at (0.1489, 0.3494, 0.5020) and Sn at (0.0000, 0.3559, 0.7500).



A geometry-optimized KNiAg2 structure, computed with GGA-PBE.

The energy relative to the elements is 385.3 meV/atom. The calculation puts the spin magnetization at 0.21 μB/f.u. For the offset from the most stable computed form, the calculation gives 0.0679 eV per atom.

The space group is C2/m (No. 12) and the conventional cell measures 11.9906, 2.8735 and 5.4537 Å, with angles of 90.00, 114.15 and 90.00 degrees. Symmetry generates all atoms from K at (0.0000, 0.0000, 0.0000), Ni at (0.0000, 0.5000, 0.5000) and Ag at (0.2012, 0.0000, 0.6792).



A geometry-optimized Pr2GdPt structure, computed with GGA-PBE.

The energy relative to the elements is -242.3 meV/atom. The calculation puts the spin magnetization at 8.06 μB/f.u. For the offset from the most stable computed form, the calculation gives 0.2275 eV per atom.

The space group is R-3m (No. 166, hexagonal axes) and the conventional cell measures 3.8457, 3.8457 and 32.3322 Å, with angles of 90.00, 90.00 and 120.00 degrees. Symmetry generates all atoms from Pr at (0.0000, 0.0000, 0.1091), Gd at (0.0000, 0.0000, 0.0000) and Pt at (0.0000, 0.0000, 0.5000).



A geometry-optimized Y3BiIr structure, computed with GGA-PBE.

The energy relative to the elements is -642.8 meV/atom. The calculation puts the spin magnetization at 0.00 μB/f.u. For the offset from the most stable computed form, the calculation gives 0.0000 eV per atom.

The space group is Cmmm (No. 65) and the conventional cell measures 9.8845, 14.5373 and 4.1748 Å, with angles of 90.00, 90.00 and 90.00 degrees. Symmetry generates all atoms from Y at (0.0000, 0.1688, 0.0000), Y at (0.1903, 0.3680, 0.5000), Bi at (0.0000, 0.0000, 0.5000), Bi at (0.0000, 0.5000, 0.0000) and Ir at (0.2500, 0.2500, 0.0000).



A geometry-optimized Ba2ZnBr2O2 structure, computed with GGA-PBE.

The value obtained for the calculated total energy is -4.684 eV/atom. The calculation puts the spin magnetization at 0.00 μB/f.u.

The space group is I4/mmm (No. 139) and the conventional cell measures 4.2909, 4.2909 and 17.7934 Å, with angles of 90.00, 90.00 and 90.00 degrees. Symmetry generates all atoms from Ba at (0.0000, 0.0000, 0.1004), Zn at (0.0000, 0.0000, 0.5000), Br at (0.0000, 0.0000, 0.3234) and O at (0.0000, 0.5000, 0.0000).



A geometry-optimized NaLi2VBr6 structure, computed with GGA-PBE.

The value obtained for the calculated total energy is -3.655 eV/atom. The calculation puts the spin magnetization at 2.00 μB/f.u.

The space group is R3 (No. 146, hexagonal axes) and the conventional cell measures 6.8579, 6.8579 and 18.9241 Å, with angles of 90.00, 90.00 and 120.00 degrees. Symmetry generates all atoms from Na at (0.0000, 0.0000, 0.0000), Li at (0.0000, 0.0000, 0.3017), Li at (0.0000, 0.0000, 0.8115), V at (0.0000, 0.0000, 0.4884), Br at (0.0063, 0.3171, 0.5627) and Br at (0.0244, 0.7160, 0.4062).



A geometry-optimized Pm2Pr6Sm3Tm structure, computed with GGA-PBE.

The energy relative to the elements is 12.6 meV/atom. The calculation puts the spin magnetization at 0.00 μB/f.u.

The space group is C2/m (No. 12) and the conventional cell measures 6.3584, 11.0168 and 12.0881 Å, with angles of 90.00, 100.12 and 90.00 degrees. Symmetry generates all atoms from Pm at (0.0000, 0.1667, 0.0000), Pr at (0.2491, 0.3340, 0.2490), Pr at (0.2491, 0.5000, 0.7505), Sm at (0.0000, 0.0000, 0.5000), Sm at (0.0000, 0.3336, 0.5000) and Tm at (0.0000, 0.5000, 0.0000).



A geometry-optimized TaCd2Si structure, computed with GGA-PBE.

The value obtained for the calculated total energy is -4.530 eV/atom. The calculation puts the spin magnetization at 0.00 μB/f.u.

The space group is P4mm (No. 99) and the conventional cell measures 2.8975, 2.8975 and 9.2075 Å, with angles of 90.00, 90.00 and 90.00 degrees. Symmetry generates all atoms from Ta at (0.0000, 0.0000, 0.0000), Cd at (0.0000, 0.0000, 0.5254), Cd at (0.5000, 0.5000, 0.2502) and Si at (0.5000, 0.5000, 0.7963).



A geometry-optimized Tb2Sm2DyEr4 structure, computed with GGA-PBE.

The energy relative to the elements is -2.9 meV/atom. The calculation puts the spin magnetization at 0.00 μB/f.u.

The space group is C2/m (No. 12) and the conventional cell measures 18.5826, 3.5785 and 9.5137 Å, with angles of 90.00, 115.74 and 90.00 degrees. Symmetry generates all atoms from Tb at (0.1473, 0.0000, 0.1632), Sm at (0.1659, 0.5000, 0.5004), Dy at (0.0000, 0.0000, 0.5000), Er at (0.0192, 0.5000, 0.8342) and Er at (0.1853, 0.0000, 0.8357).



A geometry-optimized NiBrCl2 structure, computed with GGA-PBE.

The calculation puts the spin magnetization at 0.40 μB/f.u. For the offset from the most stable computed form, the calculation gives 0.1318 eV per atom.

The space group is Cmmm (No. 65) and the conventional cell measures 3.0485, 8.4980 and 9.7784 Å, with angles of 90.00, 90.00 and 90.00 degrees. Symmetry generates all atoms from Ni at (0.0000, 0.0000, 0.0000), Br at (0.0000, 0.0000, 0.5000) and Cl at (0.0000, 0.5000, 0.1556).



A geometry-optimized LaEr4 structure, computed with GGA-PBE.

The energy relative to the elements is 36.1 meV/atom. The calculation puts the spin magnetization at 0.00 μB/f.u. For the offset from the most stable computed form, the calculation gives 0.0000 eV per atom.

The space group is I4/m (No. 87) and the conventional cell measures 7.9512, 7.9512 and 5.0457 Å, with angles of 90.00, 90.00 and 90.00 degrees. Symmetry generates all atoms from La at (0.0000, 0.0000, 0.0000) and Er at (0.0981, 0.3014, 0.5000).



A geometry-optimized TbIn2Cu structure, computed with GGA-PBE.

The energy relative to the elements is -372.6 meV/atom. The calculation puts the spin magnetization at 0.00 μB/f.u.

The space group is I4/mmm (No. 139) and the conventional cell measures 4.6332, 4.6332 and 16.3416 Å, with angles of 90.00, 90.00 and 90.00 degrees. Symmetry generates all atoms from Tb at (0.0000, 0.0000, 0.1383), In at (0.0000, 0.0000, 0.3463), In at (0.0000, 0.5000, 0.0000) and Cu at (0.0000, 0.5000, 0.2500).



A geometry-optimized Ta3Co8Si structure, computed with GGA-PBE.

The value obtained for the calculated total energy is -8.345 eV/atom. The calculation puts the spin magnetization at 2.81 μB/f.u.

The space group is P3m1 (No. 156) and the conventional cell measures 4.7357, 4.7357 and 7.6238 Å, with angles of 90.00, 90.00 and 120.00 degrees. Symmetry generates all atoms from Ta at (0.0000, 0.0000, 0.0000), Ta at (0.0000, 0.0000, 0.3736), Ta at (0.3333, 0.6667, 0.5329), Co at (0.0057, 0.5029, 0.1904), Co at (0.3298, 0.1649, 0.6924), Co at (0.6667, 0.3333, 0.4382), Co at (0.6667, 0.3333, 0.9401) and Si at (0.3333, 0.6667, 0.9026).



A geometry-optimized Er5MgCo4 structure, computed with GGA-PBE.

The energy relative to the elements is -187.6 meV/atom. The calculation puts the spin magnetization at 1.85 μB/f.u.

The space group is P4/mmm (No. 123) and the conventional cell measures 3.3231, 3.3231 and 18.0582 Å, with angles of 90.00, 90.00 and 90.00 degrees. Symmetry generates all atoms from Er at (0.0000, 0.0000, 0.0000), Er at (0.0000, 0.0000, 0.1822), Er at (0.0000, 0.0000, 0.3639), Mg at (0.5000, 0.5000, 0.5000), Co at (0.5000, 0.5000, 0.0918) and Co at (0.5000, 0.5000, 0.2782).



A geometry-optimized TbHfSn2 structure, computed with GGA-PBE.

The energy relative to the elements is -290.4 meV/atom. The calculation puts the spin magnetization at 0.00 μB/f.u. For the offset from the most stable computed form, the calculation gives 0.1186 eV per atom.

The space group is R-3m (No. 166, hexagonal axes) and the conventional cell measures 3.3626, 3.3626 and 30.3379 Å, with angles of 90.00, 90.00 and 120.00 degrees. Symmetry generates all atoms from Tb at (0.0000, 0.0000, 0.0000), Hf at (0.0000, 0.0000, 0.5000) and Sn at (0.0000, 0.0000, 0.2456).



A geometry-optimized K2RbZnGa structure, computed with GGA-PBE.

The energy relative to the elements is 103.3 meV/atom. The calculation puts the spin magnetization at 0.00 μB/f.u. For the offset from the most stable computed form, the calculation gives 0.0000 eV per atom.

The space group is P4/mmm (No. 123) and the conventional cell measures 6.7986, 6.7986 and 4.8089 Å, with angles of 90.00, 90.00 and 90.00 degrees. Symmetry generates all atoms from K at (0.0000, 0.5000, 0.0000), Rb at (0.0000, 0.0000, 0.5000), Zn at (0.5000, 0.5000, 0.0000) and Ga at (0.5000, 0.5000, 0.5000).



A geometry-optimized TiIrN structure, computed with GGA-PBE.

The value obtained for the calculated total energy is -9.230 eV/atom. The calculation puts the spin magnetization at 0.00 μB/f.u.

The space group is I4/mmm (No. 139) and the conventional cell measures 2.8854, 2.8854 and 17.4800 Å, with angles of 90.00, 90.00 and 90.00 degrees. Symmetry generates all atoms from Ti at (0.0000, 0.0000, 0.1795), Ir at (0.0000, 0.0000, 0.4310) and N at (0.0000, 0.0000, 0.3040).



A geometry-optimized ScZn2Ga3 structure, computed with GGA-PBE.

The energy relative to the elements is -282.1 meV/atom. The calculation puts the spin magnetization at 0.00 μB/f.u.

The space group is Cmmm (No. 65) and the conventional cell measures 4.0562, 12.3696 and 4.0299 Å, with angles of 90.00, 90.00 and 90.00 degrees. Symmetry generates all atoms from Sc at (0.0000, 0.0000, 0.0000), Zn at (0.0000, 0.3254, 0.0000), Ga at (0.0000, 0.1707, 0.5000) and Ga at (0.0000, 0.5000, 0.5000).